## CrGa3Pb (PBE)

Data for a relaxed CrGa3Pb crystal.

a b c (Å): 4.780 4.780 4.780
angles (deg): 90.00 90.00 90.00
Each line ends with the local moment (μB).
Fractional positions:
1 Cr 0.000 0.000 0.000  1.02
2 Ga 0.500 0.000 0.000  -0.05
3 Pb 0.500 0.500 0.500  -0.07
4 Ga 0.000 0.500 0.000  -0.03
5 Ga 0.000 0.000 0.500  0.02

## Properties
Symmetry = No. 221
ΔE to the lowest computed polymorph = 0.0 meV/atom

## Cr2GaPb (PBE)

Data for a relaxed Cr2GaPb crystal.

a b c (Å): 4.005 4.005 9.555
angles (deg): 77.90 77.90 90.00
Each line ends with the local moment (μB).
Fractional positions:
1 Cr 0.375 0.479 0.750  0.52
2 Cr 0.229 0.625 0.250  0.64
3 Pb 0.000 0.000 0.000  -0.02
4 Cr 0.521 0.125 0.250  0.62
5 Ga 0.500 0.500 0.000  -0.02
6 Ga 0.250 0.750 0.500  -0.02
7 Pb 0.750 0.250 0.500  -0.02
8 Cr 0.875 0.771 0.750  0.53

## Properties
Symmetry = No. 122
Electronic total energy = -5.693 eV/atom

## CrGaPb3 (PBE)

Data for a relaxed CrGaPb3 crystal.

a b c (Å): 5.403 5.403 5.403
angles (deg): 90.00 90.00 90.00
Each line ends with the local moment (μB).
Fractional positions:
1 Cr 0.500 0.500 0.500  -0.65
2 Pb 0.000 0.500 0.000  0.00
3 Pb 0.000 0.000 0.500  0.03
4 Ga 0.000 0.000 0.000  0.00
5 Pb 0.500 0.000 0.000  0.00

## Properties
Symmetry = No. 221
ΔE to the lowest computed polymorph = 857.2 meV/atom

## CrGa2Pb (PBE)

Data for a relaxed CrGa2Pb crystal.

a b c (Å): 4.364 4.364 9.704
angles (deg): 77.01 77.01 90.00
Each line ends with the local moment (μB).
Fractional positions:
1 Pb 0.000 0.000 0.000  -0.06
2 Cr 0.500 0.500 0.000  3.40
3 Ga 0.206 0.625 0.250  -0.05
4 Cr 0.250 0.750 0.500  3.39
5 Pb 0.750 0.250 0.500  -0.06
6 Ga 0.544 0.125 0.250  -0.05
7 Ga 0.875 0.794 0.750  -0.05
8 Ga 0.375 0.456 0.750  -0.05

## Properties
Symmetry = No. 122
Electronic total energy = -4.503 eV/atom